1.
Density functional theory data (PBE-GGA) for a relaxed ZnCo2Te crystal.

Summary:
- Distance to the lowest polymorph of the same formula: 31 meV/atom
- Spin magnetization: 0.1945 μB/atom

Unit cell a=3.396 b=3.396 c=5.164 alpha=90.00 beta=90.00 gamma=90.00
Sites, in units of the cell vectors:
Zn: 0.000 0.000 0.000
Co: 0.000 0.000 0.467
Co: 0.500 0.500 0.160
Te: 0.500 0.500 0.648



2.
Density functional theory data (PBE-GGA) for a relaxed HfGe2Pb2 crystal.

Summary:
- Spin magnetization: 0.0000 μB/atom
- Energy of formation from the pure elements: 0.109 eV per atom

Unit cell a=7.176 b=7.176 c=4.730 alpha=90.00 beta=90.00 gamma=90.00
Sites, in units of the cell vectors:
Hf: 0.000 0.000 0.000
Hf: 0.500 0.500 0.000
Ge: 0.130 0.370 0.000
Ge: 0.370 0.870 0.000
Ge: 0.630 0.130 0.000
Ge: 0.870 0.630 0.000
Pb: 0.181 0.681 0.500
Pb: 0.319 0.181 0.500
Pb: 0.681 0.819 0.500
Pb: 0.819 0.319 0.500



3.
Density functional theory data (PBE-GGA) for a relaxed CaAlAg2Sn crystal.

Summary:
- Spin magnetization: 0.0000 μB/atom
- Energy of formation from the pure elements: 0.028 eV per atom

Unit cell a=4.930 b=4.930 c=5.356 alpha=90.00 beta=90.00 gamma=90.00
Sites, in units of the cell vectors:
Ca: 0.000 0.000 0.000
Al: 0.500 0.500 0.500
Ag: 0.000 0.500 0.500
Ag: 0.500 0.000 0.500
Sn: 0.500 0.500 0.000



4.
Density functional theory data (PBE-GGA) for a relaxed CeNiP2Rh7 crystal.

Summary:
- Spin magnetization: 0.1328 μB/atom
- Energy of formation from the pure elements: -0.337 eV per atom

Unit cell a=9.471 b=9.471 c=9.471 alpha=153.43 beta=153.43 gamma=37.93
Sites, in units of the cell vectors:
Ce: 0.000 0.000 0.000
Ni: 0.750 0.250 0.500
P: 0.338 0.338 0.000
P: 0.662 0.662 0.000
Rh: 0.114 0.614 0.500
Rh: 0.209 0.209 0.000
Rh: 0.386 0.886 0.500
Rh: 0.500 0.500 0.000
Rh: 0.609 0.109 0.500
Rh: 0.791 0.791 0.000
Rh: 0.891 0.391 0.500



5.
Density functional theory data (PBE-GGA) for a relaxed TcPS crystal.

Summary:
- Distance to the lowest polymorph of the same formula: 252 meV/atom
- Spin magnetization: 0.0000 μB/atom

Unit cell a=2.975 b=5.586 c=5.628 alpha=90.00 beta=98.78 gamma=90.00
Sites, in units of the cell vectors:
Tc: 0.194 0.000 0.235
Tc: 0.806 0.500 0.765
P: 0.291 0.209 0.612
P: 0.709 0.709 0.388
S: 0.404 0.407 0.089
S: 0.596 0.907 0.911



6.
Density functional theory data (PBE-GGA) for a relaxed PmThHgRu crystal.

Summary:
- Distance to the lowest polymorph of the same formula: 0 meV/atom
- Spin magnetization: 0.0000 μB/atom
- Energy of formation from the pure elements: -0.364 eV per atom

Unit cell a=8.052 b=8.052 c=8.052 alpha=29.58 beta=29.58 gamma=29.58
Sites, in units of the cell vectors:
Pm: 0.000 0.000 0.000
Th: 0.201 0.201 0.201
Hg: 0.765 0.765 0.765
Ru: 0.595 0.595 0.595



7.
Density functional theory data (PBE-GGA) for a relaxed ZrTaCr2Cl crystal.

Summary:
- Spin magnetization: 0.8388 μB/atom
- Calculated total energy: -0.4931 Ry per atom

Unit cell a=4.866 b=4.866 c=4.692 alpha=90.00 beta=90.00 gamma=90.00
Sites, in units of the cell vectors:
Zr: 0.000 0.000 0.000
Ta: 0.500 0.500 0.500
Cr: 0.000 0.500 0.000
Cr: 0.500 0.000 0.000
Cl: 0.000 0.000 0.500



8.
Density functional theory data (PBE-GGA) for a relaxed YCu2Hg2 crystal.

Summary:
- Distance to the lowest polymorph of the same formula: 0 meV/atom
- Spin magnetization: 0.0000 μB/atom
- Energy of formation from the pure elements: -0.119 eV per atom

Unit cell a=6.497 b=6.497 c=6.497 alpha=142.25 beta=142.25 gamma=54.46
Sites, in units of the cell vectors:
Y: 0.000 0.000 0.000
Cu: 0.400 0.400 0.000
Cu: 0.600 0.600 0.000
Hg: 0.250 0.750 0.500
Hg: 0.750 0.250 0.500



9.
Density functional theory data (PBE-GGA) for a relaxed ZrCoMo2 crystal.

Summary:
- Distance to the lowest polymorph of the same formula: 381 meV/atom
- Spin magnetization: 0.0313 μB/atom
- Energy of formation from the pure elements: 0.364 eV per atom

Unit cell a=9.503 b=9.503 c=9.503 alpha=17.10 beta=17.10 gamma=17.10
Sites, in units of the cell vectors:
Zr: 0.000 0.000 0.000
Co: 0.750 0.750 0.750
Mo: 0.239 0.239 0.239
Mo: 0.486 0.486 0.486



10.
Density functional theory data (PBE-GGA) for a relaxed Cs4TlZn3F12 crystal.

Summary:
- Spin magnetization: 0.0000 μB/atom
- Calculated total energy: -0.2943 Ry per atom

Unit cell a=7.654 b=7.654 c=7.654 alpha=109.47 beta=109.47 gamma=109.47
Sites, in units of the cell vectors:
Cs: 0.000 0.000 0.500
Cs: 0.000 0.500 0.000
Cs: 0.500 0.000 0.000
Cs: 0.500 0.500 0.500
Tl: 0.000 0.000 0.000
Zn: 0.000 0.500 0.500
Zn: 0.500 0.000 0.500
Zn: 0.500 0.500 0.000
F: 0.000 0.274 0.274
F: 0.000 0.726 0.726
F: 0.250 0.500 0.750
F: 0.250 0.750 0.500
F: 0.274 0.000 0.274
F: 0.274 0.274 0.000
F: 0.500 0.250 0.750
F: 0.500 0.750 0.250
F: 0.726 0.000 0.726
F: 0.726 0.726 0.000
F: 0.750 0.250 0.500
F: 0.750 0.500 0.250



11.
Density functional theory data (PBE-GGA) for a relaxed CrSnH3 crystal.

Summary:
- Distance to the lowest polymorph of the same formula: 0 meV/atom
- Spin magnetization: 0.6225 μB/atom

Unit cell a=3.696 b=3.696 c=3.696 alpha=90.00 beta=90.00 gamma=90.00
Sites, in units of the cell vectors:
Cr: 0.000 0.000 0.000
Sn: 0.500 0.500 0.500
H: 0.000 0.000 0.500
H: 0.000 0.500 0.000
H: 0.500 0.000 0.000



12.
Density functional theory data (PBE-GGA) for a relaxed CaAcTm crystal.

Summary:
- Spin magnetization: 0.0000 μB/atom
- Energy of formation from the pure elements: 0.084 eV per atom

Unit cell a=3.789 b=3.789 c=9.256 alpha=90.00 beta=90.00 gamma=120.00
Sites, in units of the cell vectors:
Ca: 0.000 0.000 0.000
Ac: 0.333 0.667 0.637
Tm: 0.667 0.333 0.324



13.
Density functional theory data (PBE-GGA) for a relaxed Tb5DyEr6 crystal.

Summary:
- Distance to the lowest polymorph of the same formula: 98 meV/atom
- Spin magnetization: 0.0000 μB/atom
- Energy of formation from the pure elements: 0.116 eV per atom

Unit cell a=10.036 b=10.036 c=10.036 alpha=146.85 beta=136.85 gamma=55.47
Sites, in units of the cell vectors:
Tb: 0.000 0.000 0.000
Tb: 0.153 0.653 0.500
Tb: 0.348 0.348 0.000
Tb: 0.652 0.652 0.000
Tb: 0.847 0.347 0.500
Dy: 0.500 0.000 0.500
Er: 0.070 0.820 0.250
Er: 0.250 0.500 0.750
Er: 0.430 0.180 0.250
Er: 0.570 0.820 0.750
Er: 0.750 0.500 0.250
Er: 0.930 0.180 0.750



14.
Density functional theory data (PBE-GGA) for a relaxed LaTb2Pm9 crystal.

Summary:
- Spin magnetization: 0.0000 μB/atom
- Energy of formation from the pure elements: 0.018 eV per atom

Unit cell a=5.151 b=5.151 c=15.478 alpha=90.00 beta=90.00 gamma=90.00
Sites, in units of the cell vectors:
La: 0.000 0.000 0.000
Tb: 0.000 0.000 0.334
Tb: 0.000 0.000 0.666
Pm: 0.000 0.500 0.170
Pm: 0.000 0.500 0.500
Pm: 0.000 0.500 0.830
Pm: 0.500 0.000 0.170
Pm: 0.500 0.000 0.500
Pm: 0.500 0.000 0.830
Pm: 0.500 0.500 0.000
Pm: 0.500 0.500 0.336
Pm: 0.500 0.500 0.664



15.
Density functional theory data (PBE-GGA) for a relaxed ZrCo4Os crystal.

Summary:
- Spin magnetization: 1.0443 μB/atom
- Energy of formation from the pure elements: -0.120 eV per atom

Unit cell a=4.795 b=4.795 c=4.795 alpha=60.00 beta=60.00 gamma=60.00
Sites, in units of the cell vectors:
Zr: 0.000 0.000 0.000
Co: 0.126 0.625 0.625
Co: 0.625 0.126 0.625
Co: 0.625 0.625 0.126
Co: 0.625 0.625 0.625
Os: 0.250 0.250 0.250



16.
Density functional theory data (PBE-GGA) for a relaxed TiCS2N crystal.

Summary:
- Distance to the lowest polymorph of the same formula: 305 meV/atom
- Spin magnetization: 0.0000 μB/atom

Unit cell a=4.763 b=4.763 c=3.734 alpha=90.00 beta=90.00 gamma=90.00
Sites, in units of the cell vectors:
Ti: 0.000 0.000 0.000
C: 0.500 0.500 0.500
S: 0.000 0.500 0.000
S: 0.500 0.000 0.000
N: 0.000 0.000 0.500



17.
Density functional theory data (PBE-GGA) for a relaxed Cd2AgHgP crystal.

Summary:
- Spin magnetization: 0.0000 μB/atom
- Energy of formation from the pure elements: 0.433 eV per atom

Unit cell a=5.396 b=5.396 c=4.698 alpha=90.00 beta=90.00 gamma=90.00
Sites, in units of the cell vectors:
Cd: 0.000 0.500 0.000
Cd: 0.500 0.000 0.000
Ag: 0.000 0.000 0.000
Hg: 0.500 0.500 0.500
P: 0.000 0.000 0.500



18.
Density functional theory data (PBE-GGA) for a relaxed Na3ErF8 crystal.

Summary:
- Spin magnetization: 0.1697 μB/atom
- Calculated total energy: -0.3439 Ry per atom

Unit cell a=5.498 b=5.498 c=5.498 alpha=90.00 beta=90.00 gamma=90.00
Sites, in units of the cell vectors:
Na: 0.000 0.000 0.500
Na: 0.000 0.500 0.000
Na: 0.500 0.000 0.000
Er: 0.500 0.500 0.500
F: 0.263 0.263 0.263
F: 0.263 0.263 0.737
F: 0.263 0.737 0.263
F: 0.263 0.737 0.737
F: 0.737 0.263 0.263
F: 0.737 0.263 0.737
F: 0.737 0.737 0.263
F: 0.737 0.737 0.737



19.
Density functional theory data (PBE-GGA) for a relaxed Y3PbO crystal.

Summary:
- Spin magnetization: 0.0000 μB/atom
- Calculated total energy: -0.5008 Ry per atom

Unit cell a=6.539 b=6.539 c=7.189 alpha=90.00 beta=90.00 gamma=114.26
Sites, in units of the cell vectors:
Y: 0.000 0.000 0.000
Y: 0.000 0.000 0.500
Y: 0.011 0.488 0.250
Y: 0.488 0.011 0.750
Y: 0.512 0.989 0.250
Y: 0.989 0.512 0.750
Pb: 0.484 0.516 0.750
Pb: 0.516 0.484 0.250
O: 0.122 0.878 0.750
O: 0.878 0.122 0.250



20.
Density functional theory data (PBE-GGA) for a relaxed BaSr3In crystal.

Summary:
- Distance to the lowest polymorph of the same formula: 0 meV/atom
- Spin magnetization: 0.0000 μB/atom
- Energy of formation from the pure elements: -0.165 eV per atom

Unit cell a=9.543 b=8.537 c=12.130 alpha=90.00 beta=104.39 gamma=90.00
Sites, in units of the cell vectors:
Ba: 0.226 0.019 0.152
Ba: 0.226 0.481 0.652
Ba: 0.774 0.519 0.348
Ba: 0.774 0.981 0.848
Sr: 0.094 0.660 0.913
Sr: 0.094 0.840 0.413
Sr: 0.276 0.524 0.235
Sr: 0.276 0.976 0.735
Sr: 0.451 0.225 0.479
Sr: 0.451 0.275 0.979
Sr: 0.549 0.725 0.021
Sr: 0.549 0.775 0.521
Sr: 0.724 0.024 0.265
Sr: 0.724 0.476 0.765
Sr: 0.906 0.160 0.587
Sr: 0.906 0.340 0.087
In: 0.083 0.247 0.874
In: 0.083 0.253 0.374
In: 0.917 0.747 0.626
In: 0.917 0.753 0.126